Record 1
Density functional theory data (PBE) for a relaxed structure of Ta2CoPd.

Lattice parameters (Å, degrees): 4.426 4.426 4.426 60.00 60.00 60.00
Fractional coordinates of all 4 atoms:
1 Co 0.250 0.250 0.250
2 Ta 0.000 0.000 0.000
3 Ta 0.750 0.750 0.750
4 Pd 0.500 0.500 0.500

For the formation energy, the calculation gives 0.2 eV/f.u. Its calculated density is 14.3 g/cm³. The calculated total energy is -35.78 eV per cell.


Record 2
Density functional theory data (PBE) for a relaxed structure of TaCoPd2.

Lattice parameters (Å, degrees): 4.366 4.366 4.366 60.00 60.00 60.00
Fractional coordinates of all 4 atoms:
1 Pd 0.750 0.750 0.750
2 Ta 0.500 0.500 0.500
3 Co 0.250 0.250 0.250
4 Pd 0.000 0.000 0.000

For the formation energy, the calculation gives -0.6 eV/f.u. Its calculated density is 12.8 g/cm³. The calculated total energy is -29.90 eV per cell.


Record 3
Density functional theory data (PBE) for a relaxed structure of CoTcPd2.

Lattice parameters (Å, degrees): 4.315 4.315 4.315 60.00 60.00 60.00
Each line ends with the local moment (μB).
Fractional coordinates of all 4 atoms:
1 Co 0.750 0.750 0.750  1.71
2 Tc 0.000 0.000 0.000  0.27
3 Pd 0.250 0.250 0.250  0.01
4 Pd 0.500 0.500 0.500  0.01

For the formation energy, the calculation gives 1.2 eV/f.u. Its calculated density is 10.8 g/cm³. For the energy above the most stable polymorph in this dataset, the calculation gives 0.000 eV/atom. The calculated total energy is -26.65 eV per cell.


Record 4
Density functional theory data (PBE) for a relaxed structure of Co2TcPd.

Lattice parameters (Å, degrees): 4.204 4.204 4.204 60.00 60.00 60.00
Each line ends with the local moment (μB).
Fractional coordinates of all 4 atoms:
1 Pd 0.500 0.500 0.500  -0.05
2 Co 0.000 0.000 0.000  1.76
3 Tc 0.250 0.250 0.250  -0.14
4 Co 0.750 0.750 0.750  1.46

For the formation energy, the calculation gives 1.5 eV/f.u. Its calculated density is 10.2 g/cm³. The calculated total energy is -28.22 eV per cell.


Record 5
Density functional theory data (PBE) for a relaxed structure of CoTePd2.

Lattice parameters (Å, degrees): 4.487 4.487 4.487 60.00 60.00 60.00
Fractional coordinates of all 4 atoms:
1 Te 0.500 0.500 0.500
2 Pd 0.000 0.000 0.000
3 Co 0.250 0.250 0.250
4 Pd 0.750 0.750 0.750

Its calculated density is 10.4 g/cm³. The calculated total energy is -20.52 eV per cell.


Record 6
Density functional theory data (PBE) for a relaxed structure of CoTe2Pd2.

Lattice parameters (Å, degrees): 5.245 6.325 6.941 117.10 112.20 90.00
Fractional coordinates of all 10 atoms:
1 Te 0.144 0.359 0.289
2 Te 0.356 0.070 0.711
3 Te 0.644 0.930 0.289
4 Pd 0.606 0.473 0.212
5 Pd 0.894 0.261 0.788
6 Pd 0.106 0.739 0.212
7 Pd 0.394 0.527 0.788
8 Te 0.856 0.641 0.711
9 Co 0.250 0.000 0.000
10 Co 0.750 0.000 0.000

Its calculated density is 9.4 g/cm³. The calculated total energy is -50.46 eV per cell.


Record 7
Density functional theory data (PBE) for a relaxed structure of ThCoPd.

Lattice parameters (Å, degrees): 4.429 4.429 4.429 60.00 60.00 60.00
Fractional coordinates of all 3 atoms:
1 Pd 0.250 0.250 0.250
2 Th 0.750 0.750 0.750
3 Co 0.000 0.000 0.000

For the formation energy, the calculation gives -0.8 eV/f.u. Its calculated density is 10.7 g/cm³. The calculated total energy is -20.51 eV per cell.


Record 8
Density functional theory data (PBE) for a relaxed structure of TlCoPd.

Lattice parameters (Å, degrees): 4.368 4.368 4.368 60.00 60.00 60.00
Each line ends with the local moment (μB).
Fractional coordinates of all 3 atoms:
1 Tl 0.750 0.750 0.750  -0.04
2 Co 0.250 0.250 0.250  1.88
3 Pd 0.000 0.000 0.000  0.15

Its calculated density is 10.4 g/cm³. The calculated total energy is -13.29 eV per cell.


Record 9
Density functional theory data (PBE) for a relaxed structure of Tl2CoPd.

Lattice parameters (Å, degrees): 4.754 4.754 4.754 60.00 60.00 60.00
Fractional coordinates of all 4 atoms:
1 Pd 0.500 0.500 0.500
2 Tl 0.000 0.000 0.000
3 Tl 0.750 0.750 0.750
4 Co 0.250 0.250 0.250

Its calculated density is 12.6 g/cm³. The calculated total energy is -14.82 eV per cell.


Record 10
Density functional theory data (PBE) for a relaxed structure of TlCoPd2.

Lattice parameters (Å, degrees): 4.498 4.498 4.498 60.00 60.00 60.00
Fractional coordinates of all 4 atoms:
1 Pd 0.750 0.750 0.750
2 Pd 0.000 0.000 0.000
3 Co 0.250 0.250 0.250
4 Tl 0.500 0.500 0.500

Its calculated density is 12.3 g/cm³. The calculated total energy is -19.27 eV per cell.


Record 11
Density functional theory data (PBE) for a relaxed structure of YTlCoPd.

Lattice parameters (Å, degrees): 4.748 4.748 4.748 60.00 60.00 60.00
Each line ends with the local moment (μB).
Fractional coordinates of all 4 atoms:
1 Pd 0.250 0.250 0.250  0.08
2 Tl 0.000 0.000 0.000  -0.01
3 Y 0.500 0.500 0.500  -0.08
4 Co 0.750 0.750 0.750  1.10

Its calculated density is 10.1 g/cm³. For the energy above the most stable polymorph in this dataset, the calculation gives 0.000 eV/atom. The calculated total energy is -22.10 eV per cell.


Record 12
Density functional theory data (PBE) for a relaxed structure of YTlCoPd.

Lattice parameters (Å, degrees): 4.813 4.813 4.813 60.00 60.00 60.00
Fractional coordinates of all 4 atoms:
1 Tl 0.000 0.000 0.000
2 Y 0.250 0.250 0.250
3 Co 0.750 0.750 0.750
4 Pd 0.500 0.500 0.500

Its calculated density is 9.7 g/cm³. For the energy above the most stable polymorph in this dataset, the calculation gives 0.200 eV/atom. The calculated total energy is -21.30 eV per cell.


Record 13
Density functional theory data (PBE) for a relaxed structure of ZrTlCoPd.

Lattice parameters (Å, degrees): 4.610 4.610 4.610 60.00 60.00 60.00
Each line ends with the local moment (μB).
Fractional coordinates of all 4 atoms:
1 Tl 0.000 0.000 0.000  0.01
2 Zr 0.500 0.500 0.500  -0.04
3 Pd 0.250 0.250 0.250  0.10
4 Co 0.750 0.750 0.750  1.08

Its calculated density is 11.1 g/cm³. For the energy above the most stable polymorph in this dataset, the calculation gives 0.000 eV/atom. The calculated total energy is -23.98 eV per cell.


Record 14
Density functional theory data (PBE) for a relaxed structure of ZrTlCoPd.

Lattice parameters (Å, degrees): 4.661 4.661 4.661 60.00 60.00 60.00
Fractional coordinates of all 4 atoms:
1 Pd 0.500 0.500 0.500
2 Tl 0.000 0.000 0.000
3 Zr 0.250 0.250 0.250
4 Co 0.750 0.750 0.750

Its calculated density is 10.7 g/cm³. For the energy above the most stable polymorph in this dataset, the calculation gives 0.277 eV/atom. The calculated total energy is -22.87 eV per cell.


Record 15
Density functional theory data (PBE) for a relaxed structure of TmCoPd.

Lattice parameters (Å, degrees): 4.392 4.392 4.392 60.00 60.00 60.00
Fractional coordinates of all 3 atoms:
1 Tm 0.000 0.000 0.000
2 Co 0.250 0.250 0.250
3 Pd 0.750 0.750 0.750

For the formation energy, the calculation gives 0.7 eV/f.u. Its calculated density is 9.3 g/cm³. The calculated total energy is -16.02 eV per cell.


Record 16
Density functional theory data (PBE) for a relaxed structure of TmCoPd.

Lattice parameters (Å, degrees): 4.319 4.319 4.319 60.00 60.00 60.00
Fractional coordinates of all 3 atoms:
1 Tm 0.750 0.750 0.750
2 Co 0.000 0.000 0.000
3 Pd 0.250 0.250 0.250

For the formation energy, the calculation gives -0.4 eV/f.u. Its calculated density is 9.7 g/cm³. The calculated total energy is -17.13 eV per cell.


Record 17
Density functional theory data (PBE) for a relaxed structure of UCoPd.

Lattice parameters (Å, degrees): 4.290 4.290 4.290 60.00 60.00 60.00
Fractional coordinates of all 3 atoms:
1 U 0.750 0.750 0.750
2 Co 0.000 0.000 0.000
3 Pd 0.250 0.250 0.250

For the formation energy, the calculation gives 0.2 eV/f.u. Its calculated density is 12.0 g/cm³. For the energy above the most stable polymorph in this dataset, the calculation gives 0.000 eV/atom. The calculated total energy is -23.36 eV per cell.


Record 18
Density functional theory data (PBE) for a relaxed structure of UCoPd.

Lattice parameters (Å, degrees): 4.403 4.403 4.403 60.00 60.00 60.00
Fractional coordinates of all 3 atoms:
1 Co 0.250 0.250 0.250
2 Pd 0.750 0.750 0.750
3 U 0.000 0.000 0.000

For the formation energy, the calculation gives 1.3 eV/f.u. Its calculated density is 11.1 g/cm³. For the energy above the most stable polymorph in this dataset, the calculation gives 0.352 eV/atom. The calculated total energy is -22.30 eV per cell.


Record 19
Density functional theory data (PBE) for a relaxed structure of CoPdW2.

Lattice parameters (Å, degrees): 4.365 4.365 4.365 60.00 60.00 60.00
Fractional coordinates of all 4 atoms:
1 Pd 0.500 0.500 0.500
2 Co 0.250 0.250 0.250
3 W 0.000 0.000 0.000
4 W 0.750 0.750 0.750

For the formation energy, the calculation gives 1.3 eV/f.u. Its calculated density is 15.0 g/cm³. The calculated total energy is -36.93 eV per cell.


Record 20
Density functional theory data (PBE) for a relaxed structure of ZnCoPdW.

Lattice parameters (Å, degrees): 4.301 4.301 4.301 60.00 60.00 60.00
Fractional coordinates of all 4 atoms:
1 Co 0.750 0.750 0.750
2 W 0.250 0.250 0.250
3 Pd 0.500 0.500 0.500
4 Zn 0.000 0.000 0.000

For the formation energy, the calculation gives 1.4 eV/f.u. Its calculated density is 12.2 g/cm³. For the energy above the most stable polymorph in this dataset, the calculation gives 0.184 eV/atom. The calculated total energy is -25.15 eV per cell.